{
  "formula": "GePbBrF6",
  "functional": "PBE-GGA",
  "state": "optimized geometry",
  "lattice_angstrom": [[-4.058, 2.122, 5.243], [-2.429, -3.241, 4.104], [3.497, 1.092, 3.929]],
  "species": ["Br", "Pb", "F", "F", "F", "F", "F", "F", "Ge"],
  "fractional_positions": [[0.924, 0.154, 0.993], [0.724, 0.553, 0.498], [0.631, 0.030, 0.314], [0.173, 0.328, 0.280], [0.365, 0.605, 0.315], [0.340, 0.036, 0.691], [0.491, 0.343, 0.722], [0.022, 0.609, 0.684], [0.329, 0.343, 0.501]],
  "formation_energy_uncorrected_ev_per_atom": -2.01,
  "space_group": "P1"
}